Here is crystalline LiGaGe2F at its relaxed geometry from the Alexandria database. Energies are from PBE.

abc: 5.117 5.117 3.415
angles: 90.00 90.00 90.00
Space group P4/mmm (No. 123)
Asymmetric unit:
Li1 0.000 0.000 0.000 x1
Ga1 0.500 0.500 0.000 x1
Ge1 0.000 0.500 0.500 x2
F1 0.000 0.000 0.500 x1

Computed properties:
mass density = 4.47 g/cm3
density of states at the Fermi level = 1.36 states/eV/f.u.
crystal system = tetragonal
uncorrected formation energy = -0.53 eV per atom